A geometry-optimized MnTlCr2O8 structure. Source: Alexandria, functional PBE+U.

Computed properties:
Electronic total energy = -6.628 eV/atom

a = 5.348 Å, b = 5.348 Å, c = 7.948 Å
α = 88.07°, β = 88.07°, γ = 62.00°
Last column: magnetic moment on the atom in μB.
Element x y z (fractional)
Mn1 0.000 0.000 0.000  3.85
O1 0.221 0.731 0.826  -0.04
O2 0.269 0.779 0.174  -0.04
O3 0.681 0.681 0.392  0.00
O4 0.731 0.221 0.826  -0.04
O5 0.233 0.233 0.935  -0.03
O6 0.767 0.767 0.065  -0.03
O7 0.779 0.269 0.174  -0.04
O8 0.319 0.319 0.608  0.00
Cr1 0.373 0.373 0.800  0.15
Cr2 0.627 0.627 0.200  0.15
Tl1 0.000 0.000 0.500  0.00